Entry 1:
This record from the Alexandria database describes an optimized crystal structure of KHf2HgO. The functional is PBE.

```
5
Lattice="4.326 0.000 0.000 0.000 6.597 0.000 0.000 0.000 4.326" Properties=species:S:1:pos:R:3 pbc="T T T"
K 2.163 3.298 2.163
Hf 0.000 0.000 2.163
Hf 2.163 0.000 0.000
Hg 0.000 3.298 0.000
O 0.000 0.000 0.000
```

Computed properties:
Fermi-level density of states: 5.057 states/eV/cell
M_tot: 0.000 μB per atom
E: -5.6241 eV/atom


Entry 2:
This record from the Alexandria database describes an optimized crystal structure of K2Hf3HgO8. The functional is PBE.

```
14
Lattice="6.548 0.000 0.000 3.274 5.671 0.000 3.274 1.890 6.508" Properties=species:S:1:pos:R:3 pbc="T T T"
K 3.274 1.890 3.944
K 6.548 3.781 3.363
Hf 3.274 0.026 0.040
Hf 1.659 2.823 0.040
Hf 4.889 2.823 0.040
Hg 9.822 5.671 1.392
O 3.274 1.890 1.166
O 9.822 5.671 5.564
O 5.072 2.928 5.562
O 8.025 2.928 5.562
O 6.548 5.485 5.562
O 6.548 2.156 1.234
O 5.141 4.593 1.234
O 7.955 4.593 1.234
```

Computed properties:
Fermi-level density of states: 0.000 states/eV/cell
M_tot: 0.000 μB per atom
E: -7.7649 eV/atom